Record 1
Density functional theory data (GGA-PBE) for an optimized crystal structure of Sc3BeB7.

- Energy relative to the elements: -610 meV per atom

a = 3.234 Å, b = 7.584 Å, c = 8.942 Å
α = 90.00°, β = 90.00°, γ = 102.31°
Fractional coordinates of all 22 atoms:
B  0.273  0.546  0.467
Sc  0.106  0.212  0.057
B  0.727  0.454  0.967
Be  0.051  0.102  0.750
Sc  0.894  0.788  0.943
B  0.517  0.034  0.908
Sc  0.894  0.788  0.557
B  0.369  0.739  0.151
B  0.727  0.454  0.533
Sc  0.756  0.512  0.250
B  0.631  0.261  0.651
B  0.483  0.966  0.408
B  0.483  0.966  0.092
B  0.369  0.739  0.349
Sc  0.106  0.212  0.443
B  0.447  0.895  0.750
B  0.631  0.261  0.849
Sc  0.244  0.488  0.750
B  0.273  0.546  0.033
Be  0.949  0.898  0.250
B  0.553  0.105  0.250
B  0.517  0.034  0.592

=====

Record 2
Density functional theory data (GGA-PBE) for an optimized crystal structure of ScBeB3.

- Energy relative to the elements: -431 meV per atom
- Offset from the most stable computed form: 0.00 eV per formula unit

a = 3.358 Å, b = 3.094 Å, c = 8.922 Å
α = 90.00°, β = 100.85°, γ = 90.00°
Fractional coordinates of all 10 atoms:
Be  0.207  0.750  0.415
Be  0.793  0.250  0.585
B  0.680  0.250  0.361
B  0.368  0.250  0.735
Sc  0.922  0.750  0.844
B  0.632  0.750  0.265
B  0.525  0.750  0.050
B  0.320  0.750  0.639
Sc  0.078  0.250  0.156
B  0.475  0.250  0.950